Record 1
# GaTcP2O SCAN PBEsol geometry
data_GaTcP2O
_chemical_formula_sum 'Ga1 Tc1 P2 O1'
_cell_length_a 4.734
_cell_length_b 4.734
_cell_length_c 3.637
_cell_angle_alpha 90.00
_cell_angle_beta 90.00
_cell_angle_gamma 90.00
_space_group_name_H-M_alt 'P 4/m m m'
_space_group_IT_number 123
_space_group_name_Hall '-P 4 2'
loop_
_atom_site_label
_atom_site_type_symbol
_atom_site_fract_x
_atom_site_fract_y
_atom_site_fract_z
Ga1 Ga 0.000 0.000 0.000
Tc1 Tc 0.500 0.500 0.500
P1 P 0.000 0.500 0.500
O1 O 0.500 0.500 0.000
# Formation energy (no corrections) in eV/atom: -0.0760



Record 2
# TaZnHg2 SCAN PBEsol geometry
data_TaZnHg2
_chemical_formula_sum 'Ta2 Zn2 Hg4'
_cell_length_a 4.273
_cell_length_b 2.936
_cell_length_c 11.548
_cell_angle_alpha 90.00
_cell_angle_beta 90.00
_cell_angle_gamma 90.00
_space_group_name_H-M_alt 'A m m 2'
_space_group_IT_number 38
loop_
_space_group_symop_operation_xyz
'x,y,z'
'-x,-y,z'
'-x,y,z'
'x,-y,z'
'x,y+1/2,z+1/2'
'-x,-y+1/2,z+1/2'
'-x,y+1/2,z+1/2'
'x,-y+1/2,z+1/2'
loop_
_atom_site_label
_atom_site_type_symbol
_atom_site_fract_x
_atom_site_fract_y
_atom_site_fract_z
Ta1 Ta 0.000 0.000 0.000
Zn1 Zn 0.500 0.000 0.404
Hg1 Hg 0.000 0.000 0.266
Hg2 Hg 0.500 0.000 0.634
# Formation enthalpy at 0 K in eV/atom: 0.306



Record 3
# CuPHO4 SCAN PBEsol geometry
data_CuPHO4
_chemical_formula_sum 'Cu18 P18 H18 O72'
_cell_length_a 15.9348
_cell_length_b 15.9348
_cell_length_c 6.5957
_cell_angle_alpha 90.00
_cell_angle_beta 90.00
_cell_angle_gamma 120.00
_space_group_name_H-M_alt 'R -3'
_space_group_IT_number 148
_space_group_name_Hall '-R 3'
loop_
_atom_site_label
_atom_site_type_symbol
_atom_site_fract_x
_atom_site_fract_y
_atom_site_fract_z
Cu1 Cu 0.0123 0.7492 0.1717
P1 P 0.0685 0.5683 0.2501
H1 H 0.0320 0.1700 0.2985
O1 O 0.0086 0.4020 0.7266
O2 O 0.0270 0.4607 0.3153
O3 O 0.0411 0.8663 0.7249
O4 O 0.0858 0.8535 0.3584
# DFT total energy in eV/atom: -9.425



Record 4
# GdCu5 SCAN PBEsol geometry
data_GdCu5
_chemical_formula_sum 'Gd1 Cu5'
_cell_length_a 4.9868
_cell_length_b 4.9868
_cell_length_c 3.9980
_cell_angle_alpha 90.00
_cell_angle_beta 90.00
_cell_angle_gamma 120.00
_space_group_name_H-M_alt 'P 6/m m m'
_space_group_IT_number 191
_space_group_name_Hall '-P 6 2'
loop_
_atom_site_label
_atom_site_type_symbol
_atom_site_fract_x
_atom_site_fract_y
_atom_site_fract_z
Gd1 Gd 0.0000 0.0000 0.0000
Cu1 Cu 0.0000 0.5000 0.5000
Cu2 Cu 0.3333 0.6667 0.0000
# Formation enthalpy at 0 K in eV/atom: -0.177



no.,magnetic moment (μB/atom)
1,0.0000
2,0.0000
3,0.1389
4,1.2507